Record 1
VASP calculation (PBE-GGA) on an optimized crystal structure of KVAsBr2.

DOS(E_F) = 1.9 states/eV per cell
ΔE_f (raw) = -0.629 eV per atom
magnetization = 0.22 μB per atom
relative energy among the computed polymorphs = 0 meV/atom
density = 3.8 Mg/m³

Lattice parameters (Å, degrees): 5.408 5.408 4.801 90.00 90.00 90.00
Space group P4/mmm (No. 123)
Symmetry-distinct sites (fractional):
K  0.000  0.000  0.000
V  0.500  0.500  0.500
As  0.500  0.500  0.000
Br  0.000  0.500  0.500

=====

Record 2
VASP calculation (PBE-GGA) on an optimized crystal structure of KAs2WBr.

DOS(E_F) = 4.1 states/eV per cell
ΔE_f (raw) = -0.115 eV per atom
magnetization = 0.08 μB per atom
relative energy among the computed polymorphs = 0 meV/atom
density = 5.5 Mg/m³

Lattice parameters (Å, degrees): 4.864 4.864 5.806 90.00 90.00 90.00
Space group P4/mmm (No. 123)
Symmetry-distinct sites (fractional):
K  0.000  0.000  0.000
As  0.000  0.500  0.500
W  0.500  0.500  0.500
Br  0.500  0.500  0.000

=====

Record 3
VASP calculation (PBE-GGA) on an optimized crystal structure of KAs2WBr.

DOS(E_F) = 5.6 states/eV per cell
ΔE_f (raw) = 2.057 eV per atom
magnetization = 0.40 μB per atom
relative energy among the computed polymorphs = 2172 meV/atom
density = 4.4 Mg/m³

Lattice parameters (Å, degrees): 5.567 5.567 5.470 90.00 90.00 90.00
Space group P4/mmm (No. 123)
Symmetry-distinct sites (fractional):
K  0.000  0.000  0.000
As  0.000  0.500  0.000
W  0.500  0.500  0.500
Br  0.000  0.000  0.500

=====

Record 4
VASP calculation (PBE-GGA) on an optimized crystal structure of KYAs2Br.

DOS(E_F) = 3.4 states/eV per cell
ΔE_f (raw) = -0.606 eV per atom
magnetization = 0.19 μB per atom
relative energy among the computed polymorphs = 0 meV/atom
density = 3.4 Mg/m³

Lattice parameters (Å, degrees): 5.515 5.515 5.806 90.00 90.00 90.00
Space group P4/mmm (No. 123)
Symmetry-distinct sites (fractional):
K  0.000  0.000  0.000
Y  0.500  0.500  0.500
As  0.000  0.500  0.500
Br  0.500  0.500  0.000

=====

Record 5
VASP calculation (PBE-GGA) on an optimized crystal structure of KYAs2Br.

DOS(E_F) = 5.0 states/eV per cell
ΔE_f (raw) = 0.450 eV per atom
magnetization = 0.00 μB per atom
relative energy among the computed polymorphs = 1057 meV/atom
density = 3.8 Mg/m³

Lattice parameters (Å, degrees): 5.329 5.329 5.451 90.00 90.00 90.00
Space group P4/mmm (No. 123)
Symmetry-distinct sites (fractional):
K  0.000  0.000  0.000
Y  0.500  0.500  0.500
As  0.000  0.500  0.000
Br  0.000  0.000  0.500

=====

Record 6
VASP calculation (PBE-GGA) on an optimized crystal structure of KZnAs2Br.

DOS(E_F) = 4.5 states/eV per cell
ΔE_f (raw) = -0.093 eV per atom
magnetization = 0.14 μB per atom
relative energy among the computed polymorphs = 0 meV/atom
density = 3.6 Mg/m³

Lattice parameters (Å, degrees): 4.785 4.785 6.691 90.00 90.00 90.00
Space group P4/mmm (No. 123)
Symmetry-distinct sites (fractional):
K  0.000  0.000  0.000
Zn  0.500  0.500  0.500
As  0.000  0.500  0.500
Br  0.500  0.500  0.000

=====

Record 7
VASP calculation (PBE-GGA) on an optimized crystal structure of KZnAs2Br.

ΔE_f (raw) = 0.838 eV per atom
magnetization = 1.18 μB per atom
relative energy among the computed polymorphs = 931 meV/atom
density = 1.7 Mg/m³

Lattice parameters (Å, degrees): 7.292 7.292 6.003 90.00 90.00 90.00
Space group P4/mmm (No. 123)
Symmetry-distinct sites (fractional):
K  0.000  0.000  0.000
Zn  0.500  0.500  0.500
As  0.000  0.500  0.000
Br  0.000  0.000  0.500

=====

Record 8
VASP calculation (PBE-GGA) on an optimized crystal structure of KZrAsBr2.

DOS(E_F) = 4.9 states/eV per cell
ΔE_f (raw) = 0.582 eV per atom
magnetization = 0.00 μB per atom
relative energy among the computed polymorphs = 1537 meV/atom
density = 3.3 Mg/m³

Lattice parameters (Å, degrees): 5.556 5.556 5.873 90.00 90.00 90.00
Space group P4/mmm (No. 123)
Symmetry-distinct sites (fractional):
K  0.000  0.000  0.000
Zr  0.500  0.500  0.500
As  0.000  0.000  0.500
Br  0.000  0.500  0.000

=====

Record 9
VASP calculation (PBE-GGA) on an optimized crystal structure of KZrAsBr2.

DOS(E_F) = 1.3 states/eV per cell
ΔE_f (raw) = -0.955 eV per atom
magnetization = 0.00 μB per atom
relative energy among the computed polymorphs = 0 meV/atom
density = 3.8 Mg/m³

Lattice parameters (Å, degrees): 5.523 5.523 5.209 90.00 90.00 90.00
Space group P4/mmm (No. 123)
Symmetry-distinct sites (fractional):
K  0.000  0.000  0.000
Zr  0.500  0.500  0.500
As  0.500  0.500  0.000
Br  0.000  0.500  0.500

=====

Record 10
VASP calculation (PBE-GGA) on an optimized crystal structure of LaAs2Br.

DOS(E_F) = 1.6 states/eV per cell
ΔE_f (raw) = -0.879 eV per atom
magnetization = 0.00 μB per atom
relative energy among the computed polymorphs = 128 meV/atom
density = 5.5 Mg/m³

Lattice parameters (Å, degrees): 3.683 3.683 8.226 90.00 90.00 90.00
Space group P4mm (No. 99)
Symmetry-distinct sites (fractional):
La  0.000  0.000  0.000
As  0.000  0.000  0.359
As  0.500  0.500  0.251
Br  0.500  0.500  0.787

=====

Record 11
VASP calculation (PBE-GGA) on an optimized crystal structure of LaAs2Br.

DOS(E_F) = 3.0 states/eV per cell
ΔE_f (raw) = -0.866 eV per atom
magnetization = 0.00 μB per atom
relative energy among the computed polymorphs = 141 meV/atom
density = 6.4 Mg/m³

Lattice parameters (Å, degrees): 4.157 4.157 11.126 90.00 90.00 90.00
Space group I4/mmm (No. 139)
Symmetry-distinct sites (fractional):
La  0.000  0.000  0.000
As  0.000  0.500  0.250
Br  0.000  0.000  0.500

=====

Record 12
VASP calculation (PBE-GGA) on an optimized crystal structure of LaAs4Br.

DOS(E_F) = 8.5 states/eV per cell
ΔE_f (raw) = -0.436 eV per atom
magnetization = 0.00 μB per atom
density = 6.3 Mg/m³

Lattice parameters (Å, degrees): 8.164 8.164 8.164 90.00 90.00 90.00
Space group F-43m (No. 216)
Symmetry-distinct sites (fractional):
La  0.000  0.000  0.000
As  0.118  0.118  0.618
Br  0.250  0.250  0.250

=====

Record 13
VASP calculation (PBE-GGA) on an optimized crystal structure of LaAs2Br.

DOS(E_F) = 18.6 states/eV per cell
ΔE_f (raw) = -0.528 eV per atom
magnetization = 0.00 μB per atom
relative energy among the computed polymorphs = 479 meV/atom
density = 6.2 Mg/m³

Lattice parameters (Å, degrees): 7.354 7.354 7.354 90.00 90.00 90.00
Space group F-43m (No. 216)
Symmetry-distinct sites (fractional):
La  0.000  0.000  0.000
As  0.000  0.000  0.500
As  0.250  0.250  0.750
Br  0.250  0.250  0.250

=====

Record 14
VASP calculation (PBE-GGA) on an optimized crystal structure of La2As2Br.

DOS(E_F) = 5.9 states/eV per cell
ΔE_f (raw) = -1.442 eV per atom
magnetization = 0.00 μB per atom
density = 6.1 Mg/m³

Lattice parameters (Å, degrees): 8.215 8.215 4.104 90.00 90.00 90.00
Space group P4/mbm (No. 127)
Symmetry-distinct sites (fractional):
La  0.176  0.324  0.000
As  0.113  0.613  0.500
Br  0.000  0.000  0.000

=====

Record 15
VASP calculation (PBE-GGA) on an optimized crystal structure of La4As2Br3.

DOS(E_F) = 11.8 states/eV per cell
ΔE_f (raw) = -1.690 eV per atom
magnetization = 0.00 μB per atom
density = 5.3 Mg/m³

Lattice parameters (Å, degrees): 7.526 4.345 17.981 90.00 90.07 90.00
Space group C2/m (No. 12)
Symmetry-distinct sites (fractional):
La  0.001  0.000  0.295
La  0.166  0.500  0.888
As  0.167  0.500  0.203
Br  0.000  0.000  0.000
Br  0.166  0.500  0.602

=====

Record 16
VASP calculation (PBE-GGA) on an optimized crystal structure of La6AsBr8.

DOS(E_F) = 23.7 states/eV per cell
ΔE_f (raw) = -1.675 eV per atom
magnetization = 0.00 μB per atom
density = 5.0 Mg/m³

Lattice parameters (Å, degrees): 7.4788 7.4788 31.9213 90.00 90.00 120.00
Space group R-3 (No. 148, hexagonal axes)
Symmetry-distinct sites (fractional):
La  0.0000  0.3249  0.4477
As  0.0000  0.0000  0.5000
Br  0.0000  0.0000  0.1667
Br  0.0000  0.3333  0.2764

=====

Record 17
VASP calculation (PBE-GGA) on an optimized crystal structure of LaAs2Br.

DOS(E_F) = 2.5 states/eV per cell
ΔE_f (raw) = -0.845 eV per atom
magnetization = 0.00 μB per atom
relative energy among the computed polymorphs = 162 meV/atom
density = 6.3 Mg/m³

Lattice parameters (Å, degrees): 5.842 5.852 5.670 90.00 90.20 90.00
Space group C2/m (No. 12)
Symmetry-distinct sites (fractional):
La  0.000  0.000  0.000
As  0.250  0.250  0.500
Br  0.000  0.500  0.000

=====

Record 18
VASP calculation (PBE-GGA) on an optimized crystal structure of LaAsBr4.

DOS(E_F) = 31.0 states/eV per cell
ΔE_f (raw) = -0.062 eV per atom
magnetization = 0.23 μB per atom
density = 5.2 Mg/m³

Lattice parameters (Å, degrees): 8.811 8.811 8.811 90.00 90.00 90.00
Space group F-43m (No. 216)
Symmetry-distinct sites (fractional):
La  0.000  0.000  0.000
As  0.250  0.250  0.750
Br  0.125  0.125  0.375

=====

Record 19
VASP calculation (PBE-GGA) on an optimized crystal structure of LaAs2Br.

DOS(E_F) = 2.3 states/eV per cell
ΔE_f (raw) = -0.963 eV per atom
magnetization = 0.00 μB per atom
relative energy among the computed polymorphs = 43 meV/atom
density = 4.8 Mg/m³

Lattice parameters (Å, degrees): 4.4365 4.4365 22.6243 90.00 90.00 120.00
Space group R3m (No. 160, hexagonal axes)
Symmetry-distinct sites (fractional):
La  0.0000  0.0000  0.0000
As  0.0000  0.0000  0.2537
As  0.0000  0.0000  0.5666
Br  0.0000  0.0000  0.7454

=====

Record 20
VASP calculation (PBE-GGA) on an optimized crystal structure of La8As6Br.

DOS(E_F) = 13.7 states/eV per cell
ΔE_f (raw) = -1.282 eV per atom
magnetization = 0.00 μB per atom
density = 5.4 Mg/m³

Lattice parameters (Å, degrees): 11.4489 11.4489 4.4850 90.00 90.00 120.00
Space group P-3 (No. 147)
Symmetry-distinct sites (fractional):
La  0.0370  0.3634  0.2443
La  0.3333  0.6667  0.7533
As  0.1399  0.6624  0.2547
Br  0.0000  0.0000  0.0000

=====

Record 21
VASP calculation (PBE-GGA) on an optimized crystal structure of LaAs2Br.

DOS(E_F) = 0.2 states/eV per cell
ΔE_f (raw) = -0.909 eV per atom
magnetization = 0.00 μB per atom
relative energy among the computed polymorphs = 98 meV/atom
density = 5.2 Mg/m³

Lattice parameters (Å, degrees): 3.877 3.773 8.244 90.00 103.58 90.00
Space group Pm (No. 6)
Symmetry-distinct sites (fractional):
La  0.000  0.000  0.000
As  0.189  0.000  0.628
As  0.399  0.500  0.817
Br  0.619  0.500  0.234

=====

Record 22
VASP calculation (PBE-GGA) on an optimized crystal structure of La4As3Br2.

DOS(E_F) = 5.9 states/eV per cell
ΔE_f (raw) = -1.612 eV per atom
magnetization = 0.00 μB per atom
density = 5.2 Mg/m³

Lattice parameters (Å, degrees): 14.514 4.339 11.025 90.00 120.16 90.00
Space group C2/m (No. 12)
Symmetry-distinct sites (fractional):
La  0.102  0.000  0.403
La  0.206  0.500  0.776
As  0.000  0.500  0.500
As  0.200  0.500  0.306
Br  0.114  0.000  0.897

=====

Record 23
VASP calculation (PBE-GGA) on an optimized crystal structure of LaAs2Br.

DOS(E_F) = 7.5 states/eV per cell
ΔE_f (raw) = -0.815 eV per atom
magnetization = 0.00 μB per atom
relative energy among the computed polymorphs = 191 meV/atom
density = 5.6 Mg/m³

Lattice parameters (Å, degrees): 4.342 4.342 23.171 90.00 90.00 90.00
Space group I-42d (No. 122)
Symmetry-distinct sites (fractional):
La  0.000  0.000  0.000
As  0.165  0.250  0.125
Br  0.000  0.000  0.500

=====

Record 24
VASP calculation (PBE-GGA) on an optimized crystal structure of La4AsBr5.

DOS(E_F) = 9.4 states/eV per cell
ΔE_f (raw) = -1.727 eV per atom
magnetization = 0.00 μB per atom
density = 5.0 Mg/m³

Lattice parameters (Å, degrees): 18.955 4.260 8.795 90.00 103.48 90.00
Space group C2/m (No. 12)
Symmetry-distinct sites (fractional):
La  0.000  0.000  0.228
La  0.155  0.500  0.084
As  0.000  0.500  0.000
Br  0.000  0.500  0.500
Br  0.167  0.000  0.336
Br  0.171  0.000  0.834

=====

Record 25
VASP calculation (PBE-GGA) on an optimized crystal structure of La3AsBr.

DOS(E_F) = 11.0 states/eV per cell
ΔE_f (raw) = -0.529 eV per atom
magnetization = 0.00 μB per atom
relative energy among the computed polymorphs = 0 meV/atom
density = 4.9 Mg/m³

Lattice parameters (Å, degrees): 5.770 5.770 5.770 90.00 90.00 90.00
Space group Pm-3m (No. 221)
Symmetry-distinct sites (fractional):
La  0.000  0.000  0.500
As  0.000  0.000  0.000
Br  0.500  0.500  0.500

=====

Record 26
VASP calculation (PBE-GGA) on an optimized crystal structure of LaAs2Br.

DOS(E_F) = 18.1 states/eV per cell
ΔE_f (raw) = -0.215 eV per atom
magnetization = 0.00 μB per atom
relative energy among the computed polymorphs = 792 meV/atom
density = 6.1 Mg/m³

Lattice parameters (Å, degrees): 7.388 7.388 7.388 90.00 90.00 90.00
Space group Fm-3m (No. 225)
Symmetry-distinct sites (fractional):
La  0.000  0.000  0.000
As  0.250  0.250  0.250
Br  0.000  0.000  0.500

=====

Record 27
VASP calculation (PBE-GGA) on an optimized crystal structure of LaAs2Br.

DOS(E_F) = 4.8 states/eV per cell
ΔE_f (raw) = -0.566 eV per atom
magnetization = 0.00 μB per atom
relative energy among the computed polymorphs = 441 meV/atom
density = 6.3 Mg/m³

Lattice parameters (Å, degrees): 4.421 4.421 9.904 90.00 90.00 90.00
Space group I-4m2 (No. 119)
Symmetry-distinct sites (fractional):
La  0.000  0.000  0.000
As  0.000  0.000  0.500
As  0.000  0.500  0.750
Br  0.000  0.500  0.250